Here is a relaxed Ba2NdCd crystal from Alexandria. Energies are from GGA-PBE.

The density of states at the Fermi level is 6.59 states/eV/f.u. The offset from the most stable computed form comes out at 0 meV per atom. The formation energy comes out at -0.002 eV per atom. For the raw total energy, the calculation gives -2.384 eV/atom.

Unit cell a=4.1075 b=4.1075 c=10.0750 alpha=90.00 beta=90.00 gamma=90.00
Last column: nearest neighbours and their distance in Å.
Element x y z (fractional)
Ba 0.0000 0.0000 0.7824  4 Cd 3.64, 4 Nd 4.07
Ba 0.0000 0.0000 0.2176  4 Cd 3.64, 4 Nd 4.07
Nd 0.5000 0.5000 0.5000  8 Ba 4.07, 4 Nd 4.11
Cd 0.5000 0.5000 0.0000  8 Ba 3.64

***

Here is a relaxed Ba2NdCdO5 crystal from Alexandria. Energies are from GGA-PBE.

The calculation puts the formation energy from raw total energies at -1913 kJ/mol of formula units. The density of states at the Fermi level is 8.29 states/eV/f.u. For the raw total energy, the calculation gives -6.017 eV/atom.

Unit cell a=3.7240 b=7.8290 c=11.4460 alpha=90.00 beta=90.00 gamma=103.76
Last column: nearest neighbours and their distance in Å.
Element x y z (fractional)
O 0.7171 0.4342 0.1418  2 Nd 2.45, 1 Ba 2.68
O 0.4983 0.9966 0.7848  1 Cd 2.20
O 0.2829 0.5658 0.6418  2 Nd 2.45, 1 Ba 2.68
O 0.9399 0.8799 0.5593  2 Cd 2.20, 1 Nd 2.42
O 0.0601 0.1201 0.0593  2 Cd 2.20, 1 Nd 2.42
O 0.3659 0.7318 0.0031  1 Cd 2.31, 1 Nd 2.32
O 0.3044 0.6088 0.3712  2 Nd 2.41
O 0.6341 0.2682 0.5031  1 Cd 2.31, 1 Nd 2.32
O 0.6956 0.3912 0.8712  2 Nd 2.41
O 0.5017 0.0034 0.2848  1 Cd 2.20
Cd 0.4838 0.9676 0.4754  4 O 2.20-2.31
Cd 0.5162 0.0324 0.9754  4 O 2.20-2.31
Ba 0.8697 0.7393 0.7913  6 O 2.70-2.86
Ba 0.1113 0.2227 0.6947  5 O 2.68-2.90
Ba 0.8887 0.7773 0.1947  5 O 2.68-2.90
Ba 0.1303 0.2606 0.2913  6 O 2.70-2.86
Nd 0.2133 0.4265 0.0026  6 O 2.32-2.45
Nd 0.7867 0.5735 0.5026  6 O 2.32-2.45

***

Here is a relaxed BaNd2CdO5 crystal from Alexandria. Energies are from GGA-PBE.

The calculation puts the formation energy from raw total energies at -2242 kJ/mol of formula units. The density of states at the Fermi level is 0.00 states/eV/f.u. For the raw total energy, the calculation gives -6.711 eV/atom.

Unit cell a=6.8735 b=6.8735 c=7.8669 alpha=115.90 beta=115.90 gamma=90.00
Last column: nearest neighbours and their distance in Å.
Element x y z (fractional)
Nd 0.1739 0.3261 0.0000  4 O 2.28-2.54
Nd 0.8261 0.6739 0.0000  4 O 2.28-2.54
Nd 0.3261 0.8261 0.0000  4 O 2.28-2.54
Nd 0.6739 0.1739 0.0000  4 O 2.28-2.54
O 0.7241 0.2241 0.7527  1 Cd 2.15, 1 Nd 2.28
O 0.9714 0.4714 0.2473  1 Cd 2.15, 1 Nd 2.28
O 0.7759 0.9714 0.2473  1 Cd 2.15, 1 Nd 2.28
O 0.0000 0.0000 0.0000  4 Nd 2.54
O 0.2759 0.7759 0.2473  1 Cd 2.15, 1 Nd 2.28
O 0.4714 0.2759 0.2473  1 Cd 2.15, 1 Nd 2.28
O 0.2241 0.0286 0.7527  1 Cd 2.15, 1 Nd 2.28
O 0.5000 0.5000 0.0000  4 Nd 2.54
O 0.0286 0.5286 0.7527  1 Cd 2.15, 1 Nd 2.28
O 0.5286 0.7241 0.7527  1 Cd 2.15, 1 Nd 2.28
Cd 0.2500 0.7500 0.5000  4 O 2.15
Cd 0.7500 0.2500 0.5000  4 O 2.15
Ba 0.7500 0.7500 0.5000  10 O 3.04-3.09
Ba 0.2500 0.2500 0.5000  10 O 3.04-3.09

***

Here is a relaxed Ba4Nd2Cd3Se10 crystal from Alexandria. Energies are from GGA-PBE.

The calculation puts the formation energy from raw total energies at -2855 kJ/mol of formula units. The density of states at the Fermi level is 0.00 states/eV/f.u. For the raw total energy, the calculation gives -4.443 eV/atom.

Unit cell a=9.8390 b=9.8390 c=28.0152 alpha=90.00 beta=90.00 gamma=154.16
Last column: nearest neighbours and their distance in Å.
Element x y z (fractional)
Se 0.7932 0.2068 0.6316  2 Cd 2.67-2.80
Se 0.5925 0.4075 0.6816  2 Nd 2.99, 3 Ba 3.29-3.30
Se 0.6542 0.3458 0.9901  2 Cd 2.69
Se 0.2068 0.7932 0.1316  2 Cd 2.67-2.80
Se 0.9847 0.0153 0.9295  1 Cd 2.84, 2 Nd 2.96
Se 0.3458 0.6542 0.4901  2 Cd 2.69
Se 0.7627 0.2373 0.2693  2 Cd 2.61
Se 0.4075 0.5925 0.1816  2 Nd 2.99, 3 Ba 3.29-3.30
Se 0.9281 0.0719 0.7478  1 Cd 2.78, 1 Nd 2.97
Se 0.6566 0.3434 0.5186  2 Cd 2.72, 1 Nd 2.99
Se 0.7901 0.2099 0.8772  1 Cd 2.57
Se 0.2099 0.7901 0.3772  1 Cd 2.57
Se 0.5792 0.4208 0.8246  2 Nd 2.96
Se 0.0096 0.9904 0.0741  1 Cd 2.78, 2 Nd 3.04
Se 0.9904 0.0096 0.5741  1 Cd 2.78, 2 Nd 3.04
Se 0.0719 0.9281 0.2478  1 Cd 2.78, 1 Nd 2.97
Se 0.3434 0.6566 0.0186  2 Cd 2.72, 1 Nd 2.99
Se 0.4208 0.5792 0.3246  2 Nd 2.96
Se 0.2373 0.7627 0.7693  2 Cd 2.61
Se 0.0153 0.9847 0.4295  1 Cd 2.84, 2 Nd 2.96
Ba 0.4248 0.5752 0.6576  7 Se 3.29-3.45
Ba 0.8343 0.1657 0.3922  7 Se 3.27-3.63
Ba 0.5752 0.4248 0.1576  7 Se 3.29-3.45
Ba 0.1659 0.8341 0.6096  7 Se 3.30-3.51
Ba 0.1657 0.8343 0.8922  7 Se 3.27-3.63
Ba 0.4058 0.5942 0.8390  7 Se 3.30-3.68
Ba 0.5942 0.4058 0.3390  7 Se 3.30-3.68
Ba 0.8341 0.1659 0.1096  7 Se 3.30-3.51
Cd 0.8517 0.1483 0.5451  4 Se 2.67-2.78
Cd 0.2147 0.7853 0.2314  4 Se 2.61-2.80
Cd 0.7853 0.2147 0.7314  4 Se 2.61-2.80
Cd 0.1557 0.8443 0.4613  4 Se 2.57-2.84
Cd 0.8443 0.1557 0.9613  4 Se 2.57-2.84
Cd 0.1483 0.8517 0.0451  4 Se 2.67-2.78
Nd 0.5030 0.4970 0.4996  6 Se 2.96-3.04
Nd 0.9175 0.0825 0.2538  6 Se 2.96-3.00
Nd 0.4970 0.5030 0.9996  6 Se 2.96-3.04
Nd 0.0825 0.9175 0.7538  6 Se 2.96-3.00

***

Here is a relaxed BaNdCdSn crystal from Alexandria. Energies are from GGA-PBE.

The density of states at the Fermi level is 4.44 states/eV/f.u. The formation energy comes out at -0.415 eV per atom. For the raw total energy, the calculation gives -3.317 eV/atom.

Unit cell a=5.7172 b=5.7172 c=5.7172 alpha=60.00 beta=60.00 gamma=60.00
Last column: nearest neighbours and their distance in Å.
Element x y z (fractional)
Nd 0.5000 0.5000 0.5000  4 Cd 3.50, 4 Sn 3.50
Sn 0.7500 0.7500 0.7500  4 Ba 3.50, 4 Nd 3.50
Cd 0.2500 0.2500 0.2500  4 Ba 3.50, 4 Nd 3.50
Ba 0.0000 0.0000 0.0000  4 Sn 3.50, 4 Cd 3.50

***

Here is a relaxed BaNdTlCd crystal from Alexandria. Energies are from GGA-PBE.

The density of states at the Fermi level is 3.82 states/eV/f.u. The formation energy comes out at -0.271 eV per atom. For the raw total energy, the calculation gives -2.764 eV/atom.

Unit cell a=5.7644 b=5.7644 c=5.7644 alpha=60.00 beta=60.00 gamma=60.00
Last column: nearest neighbours and their distance in Å.
Element x y z (fractional)
Tl 0.2500 0.2500 0.2500  4 Nd 3.53, 4 Ba 3.53
Nd 0.5000 0.5000 0.5000  4 Cd 3.53, 4 Tl 3.53
Cd 0.7500 0.7500 0.7500  4 Ba 3.53, 4 Nd 3.53
Ba 0.0000 0.0000 0.0000  4 Cd 3.53, 4 Tl 3.53

***

Here is a relaxed BaNd2Tl2Cd2 crystal from Alexandria. Energies are from GGA-PBE.

The density of states at the Fermi level is 2.03 states/eV/f.u. The formation energy comes out at -0.259 eV per atom. For the raw total energy, the calculation gives -2.833 eV/atom.

Unit cell a=5.1653 b=5.1653 c=10.2847 alpha=75.46 beta=75.46 gamma=60.00
Last column: nearest neighbours and their distance in Å.
Element x y z (fractional)
Nd 0.8629 0.8629 0.4114  3 Cd 3.13, 3 Nd 3.46, 3 Tl 3.49
Nd 0.1371 0.1371 0.5886  3 Cd 3.13, 3 Nd 3.46, 3 Tl 3.49
Cd 0.5613 0.5613 0.3160  3 Tl 3.11, 3 Nd 3.13
Cd 0.4387 0.4387 0.6840  3 Tl 3.11, 3 Nd 3.13
Ba 0.0000 0.0000 0.0000  6 Tl 3.72, 2 Nd 4.05
Tl 0.2578 0.2578 0.2266  3 Cd 3.11
Tl 0.7422 0.7422 0.7734  3 Cd 3.11

***

Here is a relaxed BaCd2Ni crystal from Alexandria. Energies are from GGA-PBE.

The density of states at the Fermi level is 2.00 states/eV/f.u. The formation energy comes out at 0.271 eV per atom. For the raw total energy, the calculation gives -2.113 eV/atom.

Unit cell a=4.5038 b=6.6430 c=4.1579 alpha=72.82 beta=87.04 gamma=108.83
Last column: nearest neighbours and their distance in Å.
Element x y z (fractional)
Ba 0.5000 0.5000 0.0000  4 Ni 2.98-3.14
Cd 0.5000 0.0000 0.5000  4 Cd 2.98-3.14
Cd 0.0000 0.0000 0.0000  4 Cd 2.98-3.14
Ni 0.0000 0.5000 0.5000  4 Ba 2.98-3.14

***

Here is a relaxed Ba2CdNi crystal from Alexandria. Energies are from GGA-PBE.

The density of states at the Fermi level is 2.39 states/eV/f.u. The formation energy comes out at 0.021 eV per atom. For the raw total energy, the calculation gives -2.615 eV/atom.

Unit cell a=4.4695 b=4.4695 c=9.1875 alpha=76.01 beta=76.01 gamma=59.91
Last column: nearest neighbours and their distance in Å.
Element x y z (fractional)
Ba 0.5176 0.5176 0.4471  3 Ni 3.11
Ba 0.9824 0.9824 0.0529  3 Ni 3.11
Cd 0.7500 0.7500 0.7500  6 Ba 3.71
Ni 0.2500 0.2500 0.2500  6 Ba 3.11

***

Here is a relaxed Ba12Cd3Ni5 crystal from Alexandria. Energies are from GGA-PBE.

The density of states at the Fermi level is 15.73 states/eV/f.u. The formation energy comes out at 0.105 eV per atom. For the raw total energy, the calculation gives -2.631 eV/atom.

Unit cell a=16.7094 b=16.7094 c=16.7094 alpha=109.47 beta=109.47 gamma=109.47
Last column: nearest neighbours and their distance in Å.
Element x y z (fractional)
Ba 0.1798 0.0879 0.7055  2 Ni 2.88-3.13
Ba 0.5919 0.6176 0.4121  2 Ni 2.88-3.13
Ba 0.0919 0.9121 0.1176  2 Ni 2.88-3.13
Ba 0.1798 0.0919 0.9743  2 Ni 2.88-3.13
Ba 0.8202 0.9081 0.0257  2 Ni 2.88-3.13
Ba 0.4743 0.6798 0.0919  2 Ni 2.88-3.13
Ba 0.2945 0.4121 0.8202  2 Ni 2.88-3.13
Ba 0.7945 0.4743 0.3824  2 Ni 2.88-3.13
Ba 0.4743 0.7945 0.8824  2 Ni 2.88-3.13
Ba 0.0879 0.9081 0.3824  2 Ni 2.88-3.13
Ba 0.5257 0.3202 0.9081  2 Ni 2.88-3.13
Ba 0.7945 0.3202 0.9121  2 Ni 2.88-3.13
Ba 0.8824 0.2945 0.4743  2 Ni 2.88-3.13
Ba 0.6798 0.2055 0.5879  2 Ni 2.88-3.13
Ba 0.3202 0.7945 0.4121  2 Ni 2.88-3.13
Ba 0.9121 0.8202 0.7945  2 Ni 2.88-3.13
Ba 0.5919 0.9743 0.6798  2 Ni 2.88-3.13
Ba 0.0879 0.1798 0.2055  2 Ni 2.88-3.13
Ba 0.7055 0.5879 0.1798  2 Ni 2.88-3.13
Ba 0.0257 0.4081 0.8202  2 Ni 2.88-3.13
Ba 0.6176 0.0257 0.2055  2 Ni 2.88-3.13
Ba 0.5257 0.2055 0.1176  2 Ni 2.88-3.13
Ba 0.2945 0.8824 0.9743  2 Ni 2.88-3.13
Ba 0.2055 0.6798 0.0879  2 Ni 2.88-3.13
Ba 0.6798 0.4743 0.5919  2 Ni 2.88-3.13
Ba 0.4121 0.2945 0.3202  2 Ni 2.88-3.13
Ba 0.3824 0.4081 0.0879  2 Ni 2.88-3.13
Ba 0.4121 0.1176 0.5919  2 Ni 2.88-3.13
Ba 0.4081 0.0257 0.3202  2 Ni 2.88-3.13
Ba 0.2055 0.5257 0.6176  2 Ni 2.88-3.13
Ba 0.5879 0.8824 0.4081  2 Ni 2.88-3.13
Ba 0.1176 0.4121 0.0919  2 Ni 2.88-3.13
Ba 0.9743 0.3824 0.2945  2 Ni 2.88-3.13
Ba 0.9743 0.5919 0.1798  2 Ni 2.88-3.13
Ba 0.6176 0.5919 0.9121  2 Ni 2.88-3.13
Ba 0.8824 0.5879 0.9081  2 Ni 2.88-3.13
Ba 0.9081 0.0879 0.8824  2 Ni 2.88-3.13
Ba 0.0919 0.1798 0.4743  2 Ni 2.88-3.13
Ba 0.3824 0.9743 0.7945  2 Ni 2.88-3.13
Ba 0.3202 0.5257 0.4081  2 Ni 2.88-3.13
Ba 0.8202 0.9121 0.2945  2 Ni 2.88-3.13
Ba 0.7055 0.1176 0.0257  2 Ni 2.88-3.13
Ba 0.1176 0.7055 0.5257  2 Ni 2.88-3.13
Ba 0.9081 0.8202 0.5257  2 Ni 2.88-3.13
Ba 0.4081 0.3824 0.5879  2 Ni 2.88-3.13
Ba 0.0257 0.6176 0.7055  2 Ni 2.88-3.13
Ba 0.5879 0.7055 0.6798  2 Ni 2.88-3.13
Ba 0.9121 0.0919 0.6176  2 Ni 2.88-3.13
Cd 0.7500 0.3750 0.1250  8 Ba 3.75-3.80
Cd 0.8750 0.1250 0.2500  8 Ba 3.75-3.80
Cd 0.2500 0.6250 0.8750  8 Ba 3.75-3.80
Cd 0.8750 0.7500 0.1250  8 Ba 3.75-3.80
Cd 0.3750 0.7500 0.6250  8 Ba 3.75-3.80
Cd 0.1250 0.2500 0.8750  8 Ba 3.75-3.80
Cd 0.3750 0.6250 0.2500  8 Ba 3.75-3.80
Cd 0.1250 0.8750 0.7500  8 Ba 3.75-3.80
Cd 0.6250 0.3750 0.7500  8 Ba 3.75-3.80
Cd 0.7500 0.8750 0.6250  8 Ba 3.75-3.80
Cd 0.6250 0.2500 0.3750  8 Ba 3.75-3.80
Cd 0.2500 0.1250 0.3750  8 Ba 3.75-3.80
Ni 0.7500 0.6250 0.3750  4 Ba 2.88
Ni 0.2500 0.8750 0.1250  4 Ba 2.88
Ni 0.3750 0.2500 0.1250  4 Ba 2.88
Ni 0.0000 0.0000 0.0000  6 Ba 3.13
Ni 0.5000 0.5000 0.5000  6 Ba 3.13
Ni 0.8750 0.6250 0.7500  4 Ba 2.88
Ni 0.3750 0.1250 0.7500  4 Ba 2.88
Ni 0.5000 0.5000 0.0000  6 Ba 3.13
Ni 0.0000 0.0000 0.5000  6 Ba 3.13
Ni 0.6250 0.7500 0.8750  4 Ba 2.88
Ni 0.8750 0.2500 0.6250  4 Ba 2.88
Ni 0.5000 0.0000 0.5000  6 Ba 3.13
Ni 0.1250 0.3750 0.2500  4 Ba 2.88
Ni 0.0000 0.5000 0.5000  6 Ba 3.13
Ni 0.0000 0.5000 0.0000  6 Ba 3.13
Ni 0.1250 0.7500 0.3750  4 Ba 2.88
Ni 0.5000 0.0000 0.0000  6 Ba 3.13
Ni 0.7500 0.1250 0.8750  4 Ba 2.88
Ni 0.2500 0.3750 0.6250  4 Ba 2.88
Ni 0.6250 0.8750 0.2500  4 Ba 2.88